{
  "formula": "Na2SrTl2Hg2",
  "functional": "PBE",
  "state": "optimized geometry",
  "dft_energy_ev_per_atom": -1.65,
  "space_group": "No. 166",
  "cell": [[5.2563, 0.0000, 0.0000], [2.6282, 4.5521, 0.0000], [2.6282, 1.5174, 8.3081]],
  "species": ["Na", "Na", "Sr", "Tl", "Tl", "Hg", "Hg"],
  "fractional_positions": [[0.1433, 0.1433, 0.5700], [0.8567, 0.8567, 0.4300], [0.0000, 0.0000, 0.0000], [0.5761, 0.5761, 0.2718], [0.4239, 0.4239, 0.7282], [0.7316, 0.7316, 0.8052], [0.2684, 0.2684, 0.1948]]
}

---

{
  "formula": "NaSr2Tl2Hg4",
  "functional": "PBE",
  "state": "optimized geometry",
  "dft_energy_ev_per_atom": -1.44,
  "space_group": "No. 139",
  "cell": [[-5.1241, 4.8233, -1.8733], [3.4467, -3.8367, -5.1410], [-1.8712, -6.1868, 3.3544]],
  "species": ["Na", "Sr", "Sr", "Tl", "Tl", "Hg", "Hg", "Hg", "Hg"],
  "fractional_positions": [[0.0000, 0.0000, 0.0000], [0.5000, 0.7500, 0.2500], [0.5000, 0.2500, 0.7500], [0.0000, 0.7156, 0.7156], [0.0000, 0.2844, 0.2844], [0.0000, 0.7197, 0.2803], [0.4393, 0.7197, 0.7197], [0.0000, 0.2803, 0.7197], [0.5607, 0.2803, 0.2803]]
}

---

{
  "formula": "NaSrTlHg2",
  "functional": "PBE",
  "state": "optimized geometry",
  "dft_energy_ev_per_atom": -1.45,
  "space_group": "No. 156",
  "cell": [[5.4877, 0.0000, 0.0000], [-2.7438, 4.7525, 0.0000], [0.0000, 0.0000, 6.1612]],
  "species": ["Na", "Sr", "Tl", "Hg", "Hg"],
  "fractional_positions": [[0.6667, 0.3333, 0.3657], [0.0000, 0.0000, 0.9407], [0.3333, 0.6667, 0.6665], [0.3333, 0.6667, 0.1777], [0.6667, 0.3333, 0.8495]]
}

---

{
  "formula": "NaSrTl2Hg4",
  "functional": "PBE",
  "state": "optimized geometry",
  "dft_energy_ev_per_atom": -1.38,
  "space_group": "No. 166",
  "cell": [[5.3961, 0.0000, 0.0000], [2.6980, 4.6731, 0.0000], [2.6980, 1.5577, 8.7778]],
  "species": ["Na", "Sr", "Tl", "Tl", "Hg", "Hg", "Hg", "Hg"],
  "fractional_positions": [[0.5000, 0.5000, 0.5000], [0.0000, 0.0000, 0.0000], [0.7458, 0.7458, 0.7625], [0.2542, 0.2542, 0.2375], [0.3820, 0.3820, 0.8540], [0.8685, 0.8685, 0.3946], [0.1315, 0.1315, 0.6054], [0.6180, 0.6180, 0.1460]]
}